Computed, not measured: a geometry-optimized ErTmAs structure at the PBE level of DFT.

The structure belongs to space group Immm (No. 71); the cell edges are 3.386, 5.520 and 16.523 Å and the angles 90.00°, 90.00° and 90.00°. The distinct sites, in fractional coordinates, are Er at (0.000, 0.000, 0.173), Tm at (0.000, 0.249, 0.500) and As at (0.000, 0.000, 0.343).

As for the magnetic moment: 0.0 μB/cell. The calculation puts the formation energy at -0.40 eV/atom. The density of states at the Fermi level comes out at 0.8412 states/eV/atom. As for the distance to the lowest polymorph of the same formula: 435 meV/atom. The total DFT energy (no corrections) comes out at -4.961 eV per atom.

***

Computed, not measured: a geometry-optimized AlSiPt4 structure at the PBE level of DFT.

The structure belongs to space group F-43m (No. 216); the cell edges are 7.448, 7.448 and 7.448 Å and the angles 90.00°, 90.00° and 90.00°. The distinct sites, in fractional coordinates, are Al at (0.000, 0.000, 0.000), Si at (0.250, 0.250, 0.250) and Pt at (0.125, 0.125, 0.625).

As for the magnetic moment: 0.0 μB/cell. The density of states at the Fermi level comes out at 0.8496 states/eV/atom. The total DFT energy (no corrections) comes out at -5.540 eV per atom. Its formation energy without anion corrections is 0.02 eV per atom.

***

Computed, not measured: a geometry-optimized Pm2USb3Rh4 structure at the PBE level of DFT.

The structure belongs to space group P-4m2 (No. 115); the cell edges are 4.418, 4.418 and 11.313 Å and the angles 90.00°, 90.00° and 90.00°. The distinct sites, in fractional coordinates, are Pm at (0.000, 0.500, 0.222), U at (0.000, 0.000, 0.500), Sb at (0.000, 0.500, 0.868), Sb at (0.500, 0.500, 0.500), Rh at (0.000, 0.000, 0.000), Rh at (0.000, 0.500, 0.638) and Rh at (0.500, 0.500, 0.000).

As for the magnetic moment: 0.4 μB/cell. The density of states at the Fermi level comes out at 1.4435 states/eV/atom. The total DFT energy (no corrections) comes out at -6.968 eV per atom. Its formation energy without anion corrections is -0.71 eV per atom.

***

Q: Which value of magnetic moment does entry 1 give?
A: 0.0 μB/cell